(1)
Entry from OQMD via LeMat-Bulk: crystalline NaThTe at its relaxed geometry (PBE-GGA).

Cell lengths 5.270, 5.270, 5.270 Å; angles 60.00, 60.00, 60.00 degrees
Element x y z (fractional)
Na: 0.000 0.000 0.000
Te: 0.500 0.500 0.500
Th: 0.250 0.250 0.250

Output
**Offset from the most stable computed form**: 0.75 eV per formula unit

(2)
Entry from OQMD via LeMat-Bulk: crystalline PrTlCd at its relaxed geometry (PBE-GGA).

Cell lengths 4.987, 4.987, 7.776 Å; angles 90.00, 90.00, 120.00 degrees
Element x y z (fractional)
Cd: 0.000 0.000 0.039
Cd: 0.333 0.667 0.541
Pr: 0.667 0.333 0.251
Pr: 0.667 0.333 0.751
Tl: 0.000 0.000 0.459
Tl: 0.333 0.667 0.960

(3)
Entry from OQMD via LeMat-Bulk: crystalline CdH2 at its relaxed geometry (PBE-GGA).

Cell lengths 5.300, 6.696, 5.127 Å; angles 90.00, 90.00, 90.00 degrees
Element x y z (fractional)
Cd: 0.075 0.123 0.379
Cd: 0.575 0.377 0.379
Cd: 0.425 0.623 0.879
Cd: 0.925 0.877 0.879
H: 0.057 0.111 0.015
H: 0.557 0.389 0.015
H: 0.411 0.141 0.479
H: 0.911 0.359 0.479
H: 0.443 0.611 0.515
H: 0.943 0.889 0.515
H: 0.089 0.641 0.979
H: 0.589 0.859 0.979

(4)
Entry from OQMD via LeMat-Bulk: crystalline K3Mo2Br9 at its relaxed geometry (PBE-GGA).

Cell lengths 7.603, 7.603, 18.337 Å; angles 90.00, 90.00, 120.00 degrees
Element x y z (fractional)
Br: 0.125 0.350 0.092
Br: 0.226 0.875 0.092
Br: 0.650 0.774 0.092
Br: 0.449 0.452 0.250
Br: 0.002 0.551 0.250
Br: 0.548 0.998 0.250
Br: 0.650 0.774 0.408
Br: 0.125 0.350 0.408
Br: 0.226 0.875 0.408
Br: 0.875 0.650 0.592
Br: 0.774 0.125 0.592
Br: 0.350 0.226 0.592
Br: 0.452 0.002 0.750
Br: 0.998 0.449 0.750
Br: 0.551 0.548 0.750
Br: 0.350 0.226 0.908
Br: 0.774 0.125 0.908
Br: 0.875 0.650 0.908
K: 0.667 0.333 0.058
K: 0.000 0.000 0.250
K: 0.667 0.333 0.442
K: 0.333 0.667 0.558
K: 0.000 0.000 0.750
K: 0.333 0.667 0.942
Mo: 0.333 0.667 0.173
Mo: 0.333 0.667 0.327
Mo: 0.667 0.333 0.673
Mo: 0.667 0.333 0.827

no.,E (eV/cell)
1,-11.50
2,-18.36
3,-27.88
4,-109.77